The following is a DFT calculation (meta-GGA SCAN) of LiOsAu2N at its PBEsol-relaxed geometry.

Cell: 4.891 4.891 5.039 Å, 90.00 90.00 90.00°
Each line ends with the local moment (μB).
Sites, in units of the cell vectors:
N 0.500 0.500 0.500  1.87
Li 0.000 0.000 0.500  0.00
Au 0.000 0.500 0.000  0.02
Au 0.500 0.000 0.000  0.02
Os 0.000 0.000 0.000  -0.02

Computed properties:
- SG: P4/mmm (123)
- Energy relative to the elements, uncorrected: 1868 meV/atom
- Total DFT energy (no corrections): -42.5071 eV/atom
- Fermi-level density of states: 0.56 states/eV per atom


The following is a DFT calculation (meta-GGA SCAN) of RbSn2HgN at its PBEsol-relaxed geometry.

Cell: 4.115 5.906 5.906 Å, 90.00 90.00 90.00°
Sites, in units of the cell vectors:
N 0.500 0.000 0.000
Sn 0.000 0.000 0.500
Sn 0.000 0.500 0.000
Rb 0.500 0.500 0.500
Hg 0.000 0.000 0.000

Computed properties:
- SG: P4/mmm (123)
- Energy relative to the elements, uncorrected: 1018 meV/atom
- Total DFT energy (no corrections): -32.9893 eV/atom
- Fermi-level density of states: 0.75 states/eV per atom


The following is a DFT calculation (meta-GGA SCAN) of LaZn4Si at its PBEsol-relaxed geometry.

Cell: 5.351 5.351 5.351 Å, 60.00 60.00 60.00°
Sites, in units of the cell vectors:
Si 0.000 0.000 0.000
Zn 0.878 0.374 0.374
Zn 0.374 0.374 0.374
Zn 0.374 0.878 0.374
Zn 0.374 0.374 0.878
La 0.750 0.750 0.750

Computed properties:
- SG: F-43m (216)
- Energy relative to the elements, uncorrected: 15 meV/atom
- Total DFT energy (no corrections): -17.8488 eV/atom
- Fermi-level density of states: 0.42 states/eV per atom


The following is a DFT calculation (meta-GGA SCAN) of CuReW2 at its PBEsol-relaxed geometry.

Cell: 4.349 4.349 4.349 Å, 60.00 60.00 60.00°
Sites, in units of the cell vectors:
Cu 0.500 0.500 0.500
W 0.000 0.000 0.000
W 0.750 0.750 0.750
Re 0.250 0.250 0.250

Computed properties:
- Energy relative to the elements: 0.365 eV per atom
- SG: F-43m (216)
- Total DFT energy (no corrections): -56.0527 eV/atom
- Offset from the most stable computed form: 0.61 eV/f.u.
- Fermi-level density of states: 1.23 states/eV per atom


The following is a DFT calculation (meta-GGA SCAN) of BaSrO2F at its PBEsol-relaxed geometry.

Cell: 4.761 4.761 4.801 Å, 90.00 90.00 90.00°
Sites, in units of the cell vectors:
F 0.000 0.000 0.500
O 0.500 0.000 0.000
O 0.000 0.500 0.000
Ba 0.000 0.000 0.000
Sr 0.500 0.500 0.500

Computed properties:
- SG: P4/mmm (123)
- Energy relative to the elements, uncorrected: -2153 meV/atom
- Total DFT energy (no corrections): -17.7186 eV/atom
- Fermi-level density of states: 0.04 states/eV per atom


The following is a DFT calculation (meta-GGA SCAN) of Rb3AsW at its PBEsol-relaxed geometry.

Cell: 6.528 6.528 6.528 Å, 90.00 90.00 90.00°
Each line ends with the local moment (μB).
Sites, in units of the cell vectors:
Rb 0.500 0.000 0.000  0.03
Rb 0.000 0.500 0.000  0.03
Rb 0.000 0.000 0.500  0.03
W 0.000 0.000 0.000  3.45
As 0.500 0.500 0.500  0.43

Computed properties:
- Energy relative to the elements: 1.625 eV per atom
- SG: Pm-3m (221)
- Total DFT energy (no corrections): -28.7947 eV/atom
- Fermi-level density of states: 1.38 states/eV per atom